Computed, not measured: Ca2LaMgMo after structural relaxation at the PBE level of DFT.

The structure in CIF format:
```
data_Ca2LaMgMo
_chemical_formula_sum 'Ca2 La1 Mg1 Mo1'
_cell_length_a 5.502
_cell_length_b 5.445
_cell_length_c 5.502
_cell_angle_alpha 90.00
_cell_angle_beta 90.00
_cell_angle_gamma 90.00
_space_group_name_H-M_alt 'P 1'
_space_group_IT_number 1
loop_
_space_group_symop_operation_xyz
'x,y,z'
loop_
_atom_site_label
_atom_site_type_symbol
_atom_site_fract_x
_atom_site_fract_y
_atom_site_fract_z
_atom_site_occupancy
Mg1 Mg 0.000 0.500 0.000 1
Mo1 Mo 0.500 0.500 0.500 1
Ca1 Ca 0.000 0.000 0.500 1
Ca2 Ca 0.500 0.000 0.000 1
La1 La 0.000 0.000 0.000 1
```

Results
- raw total energy (eV per atom) = -2.2674
- total magnetic moment (Bohr magnetons per cell) = 0.00